## Zn2Hg2Pd5 (PBE-GGA)

Data for a relaxed Zn2Hg2Pd5 crystal.

```
Zn2Hg2Pd5
1.0
7.377 -3.246 0.000
7.377 3.246 0.000
0.000 0.000 6.481
Zn Hg Pd
4 4 10
direct
0.137 0.863 0.863
0.363 0.637 0.363
0.637 0.363 0.637
0.863 0.137 0.137
0.218 0.218 0.500
0.282 0.282 0.000
0.718 0.718 0.000
0.782 0.782 0.500
0.000 0.000 0.500
0.043 0.718 0.162
0.218 0.543 0.662
0.282 0.957 0.162
0.457 0.782 0.662
0.500 0.500 0.000
0.543 0.218 0.338
0.718 0.043 0.838
0.782 0.457 0.338
0.957 0.282 0.838
```

Properties
Density in g/cm3: 11.38
SG: Cmce, No. 64
Raw total energy in eV/atom: -3.47
Crystal system: orthorhombic
Formation enthalpy at 0 K in eV/atom: -0.2397